[1]
Os2RhCl | Alexandria via LeMat-Bulk | PBE-GGA | relaxed; total magnetization = 1.22 μB/f.u.; volume = 15.056 A^3/atom; ΔE_f (raw) = 1.134 eV/atom; space-group type = No. 216
1.0
6.2221 0.0000 0.0000
0.0000 6.2221 0.0000
0.0000 0.0000 6.2221
Os Rh Cl
8 4 4
direct
0.0000 0.0000 0.0000 Os
0.0000 0.5000 0.5000 Os
0.2500 0.2500 0.2500 Os
0.2500 0.7500 0.7500 Os
0.5000 0.0000 0.5000 Os
0.5000 0.5000 0.0000 Os
0.7500 0.2500 0.7500 Os
0.7500 0.7500 0.2500 Os
0.0000 0.0000 0.5000 Rh
0.0000 0.5000 0.0000 Rh
0.5000 0.0000 0.0000 Rh
0.5000 0.5000 0.5000 Rh
0.2500 0.2500 0.7500 Cl
0.2500 0.7500 0.2500 Cl
0.7500 0.2500 0.2500 Cl
0.7500 0.7500 0.7500 Cl

=====

[2]
Li2MoRu | Alexandria via LeMat-Bulk | PBE-GGA | relaxed; total magnetization = 0.00 μB/f.u.; volume = 14.826 A^3/atom; space-group type = No. 6; energy of formation from the pure elements = 0.227 eV/atom
1.0
2.5505 0.0000 0.0000
0.0000 4.3989 0.0000
-0.4717 0.0000 5.2861
Li Mo Ru
2 1 1
direct
0.0000 0.0000 0.0000 Li
0.1804 0.5000 0.7816 Li
0.6820 0.5000 0.3031 Mo
0.4637 0.0000 0.4919 Ru

=====

[3]
B12S | Alexandria via LeMat-Bulk | PBE-GGA | relaxed; total magnetization = 0.00 μB/f.u.; volume = 8.577 A^3/atom; ΔE_f (raw) = 0.019 eV/atom; space-group type = No. 160
1.0
2.7968 1.6147 4.1151
-2.7968 1.6147 4.1151
0.0000 -3.2294 4.1151
B S
12 1
direct
0.0097 0.4952 0.4952 B
0.1098 0.1098 0.6297 B
0.1098 0.6297 0.1098 B
0.3039 0.3039 0.9750 B
0.3039 0.9750 0.3039 B
0.3128 0.3128 0.6370 B
0.3128 0.6370 0.3128 B
0.4952 0.0097 0.4952 B
0.4952 0.4952 0.0097 B
0.6297 0.1098 0.1098 B
0.6370 0.3128 0.3128 B
0.9750 0.3039 0.3039 B
0.7226 0.7226 0.7226 S

=====

[4]
CuHgO3 | Alexandria via LeMat-Bulk | PBE-GGA | relaxed; total magnetization = 0.00 μB/f.u.; volume = 14.071 A^3/atom; ΔE_f (raw) = -0.114 eV/atom; space-group type = No. 11
1.0
3.7144 0.0000 0.0000
0.0000 5.9503 0.0000
-1.3034 0.0000 6.3663
Cu Hg O
2 2 6
direct
0.0048 0.2500 0.0014 Cu
0.9952 0.7500 0.9986 Cu
0.0000 0.0000 0.5000 Hg
0.0000 0.5000 0.5000 Hg
0.1086 0.9998 0.8463 O
0.1086 0.5002 0.8463 O
0.3942 0.2500 0.5079 O
0.6058 0.7500 0.4921 O
0.8914 0.0002 0.1537 O
0.8914 0.4998 0.1537 O